Mg2WF8: relaxed, PBE with a Hubbard U.

Geometry as POSCAR:
```
Mg2WF8
1.0
3.990 -0.012 -0.021
0.000 5.533 -3.194
-0.035 0.070 6.514
Mg F W
2 8 1
Direct
0.749 0.668 0.336 Mg
0.251 0.332 0.664 Mg
0.749 0.311 0.158 F
0.749 0.846 0.157 F
0.758 0.841 0.682 F
0.242 0.159 0.318 F
0.251 0.154 0.843 F
0.749 0.334 0.669 F
0.251 0.689 0.842 F
0.251 0.666 0.331 F
0.000 0.000 0.000 W
```

Results
The calculation puts the final energy at -58.89 eV/cell.